i.
Here is crystalline ReNiSb2I at its relaxed geometry from the Alexandria database. Energies are from GGA-PBE.

Lattice parameters (Å, degrees): 4.9472 4.9472 5.1295 90.00 90.00 90.00
Space group P4/mmm (No. 123)
Asymmetric unit:
Re 0.0000 0.0000 0.0000 (multiplicity 1)
Ni 0.5000 0.5000 0.5000 (multiplicity 1)
Sb 0.0000 0.5000 0.5000 (multiplicity 2)
I 0.5000 0.5000 0.0000 (multiplicity 1)

Calculated values
Crystal system = tetragonal
M_tot = 3.16 Bohr magnetons per cell



ii.
Here is crystalline ReNiSb2I at its relaxed geometry from the Alexandria database. Energies are from GGA-PBE.

Lattice parameters (Å, degrees): 5.0561 5.0561 5.8655 90.00 90.00 90.00
Space group P4/mmm (No. 123)
Asymmetric unit:
Re 0.0000 0.0000 0.0000 (multiplicity 1)
Ni 0.5000 0.5000 0.5000 (multiplicity 1)
Sb 0.0000 0.5000 0.0000 (multiplicity 2)
I 0.0000 0.0000 0.5000 (multiplicity 1)

Calculated values
Crystal system = tetragonal
M_tot = 1.21 Bohr magnetons per cell



Stability verdict: ii, ahead by 132 meV per atom



i.
Here is crystalline NiRhI at its relaxed geometry from the Alexandria database. Energies are from GGA-PBE.

Lattice parameters (Å, degrees): 7.6937 3.7386 8.7581 90.00 98.62 90.00
Space group Cm (No. 8)
Asymmetric unit:
Ni 0.0000 0.0000 0.0000 (multiplicity 2)
Ni 0.1387 0.5000 0.2099 (multiplicity 2)
Rh 0.1764 0.5000 0.8897 (multiplicity 2)
Rh 0.3178 0.0000 0.0939 (multiplicity 2)
I 0.3334 0.0000 0.7285 (multiplicity 2)
I 0.4579 0.5000 0.3307 (multiplicity 2)

Calculated values
Crystal system = monoclinic
M_tot = 0.35 Bohr magnetons per cell



ii.
Here is crystalline NiRhI at its relaxed geometry from the Alexandria database. Energies are from GGA-PBE.

Lattice parameters (Å, degrees): 7.7142 3.8558 8.7275 90.00 95.65 90.00
Space group Cm (No. 8)
Asymmetric unit:
Ni 0.0000 0.0000 0.0000 (multiplicity 2)
Ni 0.0939 0.5000 0.7948 (multiplicity 2)
Rh 0.2920 0.0000 0.8796 (multiplicity 2)
Rh 0.3903 0.5000 0.7025 (multiplicity 2)
I 0.2058 0.5000 0.1134 (multiplicity 2)
I 0.4182 0.0000 0.4989 (multiplicity 2)

Calculated values
Crystal system = monoclinic
M_tot = 0.00 Bohr magnetons per cell



iii.
Here is crystalline NiRhI at its relaxed geometry from the Alexandria database. Energies are from GGA-PBE.

Lattice parameters (Å, degrees): 7.2407 4.1642 9.3733 90.00 111.42 90.00
Space group Cm (No. 8)
Asymmetric unit:
Ni 0.0000 0.0000 0.0000 (multiplicity 2)
Ni 0.0936 0.5000 0.8352 (multiplicity 2)
Rh 0.2808 0.0000 0.8841 (multiplicity 2)
Rh 0.3639 0.5000 0.7061 (multiplicity 2)
I 0.0538 0.5000 0.1680 (multiplicity 2)
I 0.1349 0.0000 0.5671 (multiplicity 2)

Calculated values
Crystal system = monoclinic
M_tot = 0.00 Bohr magnetons per cell



Stability verdict: iii, ahead by 17 meV per atom